No. 1
Compound: YGa2Ag
Source: the Alexandria database
Functional: PBE-GGA
Structure: optimized geometry

Lattice parameters (Å, degrees): 4.518 4.518 18.240 90.00 90.00 90.00
Fractional coordinates of all 16 atoms:
Y  0.000  0.000  0.000
Y  0.000  0.500  0.250
Y  0.500  0.000  0.750
Y  0.500  0.500  0.500
Ga  0.138  0.250  0.625
Ga  0.250  0.638  0.875
Ga  0.250  0.862  0.375
Ga  0.362  0.250  0.125
Ga  0.638  0.750  0.125
Ga  0.750  0.138  0.375
Ga  0.750  0.362  0.875
Ga  0.862  0.750  0.625
Ag  0.000  0.000  0.500
Ag  0.000  0.500  0.750
Ag  0.500  0.000  0.250
Ag  0.500  0.500  0.000

Space-group type = I-42d (122)
Crystal system = tetragonal
M_tot = 0.0 μB/f.u.

---

No. 2
Compound: Y2Ga2Ag
Source: the Alexandria database
Functional: PBE-GGA
Structure: optimized geometry

Lattice parameters (Å, degrees): 7.132 7.132 4.388 90.00 90.00 90.00
Fractional coordinates of all 10 atoms:
Y  0.171  0.329  0.000
Y  0.329  0.829  0.000
Y  0.671  0.171  0.000
Y  0.829  0.671  0.000
Ga  0.131  0.631  0.500
Ga  0.369  0.131  0.500
Ga  0.631  0.869  0.500
Ga  0.869  0.369  0.500
Ag  0.000  0.000  0.500
Ag  0.500  0.500  0.500

Space-group type = P4/mbm (127)
Crystal system = tetragonal
M_tot = 0.0 μB/f.u.
Offset from the most stable computed form = 3 meV per atom

---

No. 3
Compound: YGa2Ag6
Source: the Alexandria database
Functional: PBE-GGA
Structure: optimized geometry

Lattice parameters (Å, degrees): 4.223 4.223 9.643 90.00 90.00 90.00
Fractional coordinates of all 9 atoms:
Y  0.000  0.000  0.000
Ga  0.500  0.500  0.125
Ga  0.500  0.500  0.875
Ag  0.000  0.000  0.500
Ag  0.000  0.500  0.288
Ag  0.000  0.500  0.712
Ag  0.500  0.000  0.288
Ag  0.500  0.000  0.712
Ag  0.500  0.500  0.500

Space-group type = P4/mmm (123)
Crystal system = tetragonal
M_tot = 0.0 μB/f.u.
Offset from the most stable computed form = 0 meV per atom

---

No. 4
Compound: Y3Ga4Ag2
Source: the Alexandria database
Functional: PBE-GGA
Structure: optimized geometry

Lattice parameters (Å, degrees): 5.806 5.806 8.571 111.78 111.78 46.19
Fractional coordinates of all 9 atoms:
Y  0.000  0.000  0.000
Y  0.330  0.330  0.340
Y  0.670  0.670  0.660
Ga  0.034  0.034  0.371
Ga  0.258  0.258  0.925
Ga  0.742  0.742  0.075
Ga  0.966  0.966  0.629
Ag  0.395  0.395  0.728
Ag  0.605  0.605  0.272

Space-group type = C2/m (12)
Crystal system = monoclinic
M_tot = 0.0 μB/f.u.

---

Calculated formation energy from the elements, -0.145; -0.561; -0.182; -0.565 eV/atom (same order as the records).